DFT (GGA-PBE) results for crystalline CoHgPb2 at its relaxed geometry.

Lattice parameters (Å, degrees): 9.3518 9.3518 9.3518 21.69 21.69 21.69
Closest atoms and distances in Å follow each position.
Sites, in units of the cell vectors:
Co 0.0000 0.0000 0.0000  6 Pb 2.72
Hg 0.5000 0.5000 0.5000  6 Pb 3.42, 6 Hg 3.52
Pb 0.2672 0.2672 0.2672  3 Co 2.72
Pb 0.7328 0.7328 0.7328  3 Co 2.72

Output
The density of states at the Fermi level comes out at 2.65 states/eV/f.u. The formation energy comes out at 0.289 eV/atom. The value obtained for the total energy is -3.4167 eV/atom. As for the space-group type: R-3m, No. 166.